Arrangement 1

Material: ZnIn3N
Method: DFT, PBE-GGA
State: relaxed Values from VASP.

Summary:
density of states at the Fermi level: 1.49 states/eV/cell
space-group type: Pm-3m
magnetization: 0.00 μB/cell

Cell and atoms, written as Quantum ESPRESSO input:
```
&SYSTEM
  ibrav = 0, nat = 5, ntyp = 3
/
ATOMIC_SPECIES
Zn 65.41 Zn.upf
N 14.01 N.upf
In 114.82 In.upf
CELL_PARAMETERS angstrom
-2.644 2.111 -3.359
-3.928 -1.958 1.862
-0.556 3.800 2.825
ATOMIC_POSITIONS angstrom
Zn -3.564 1.976 0.664
N 0.000 0.000 0.000
In -1.322 1.055 -1.680
In -1.964 -0.979 0.931
In -0.278 1.900 1.413
```

Arrangement 2

Material: ZnIn3N
Method: DFT, PBE-GGA
State: relaxed Values from VASP.

Summary:
density of states at the Fermi level: 5.24 states/eV/cell
space-group type: Pm-3m
magnetization: 0.00 μB/cell

Cell and atoms, written as Quantum ESPRESSO input:
```
&SYSTEM
  ibrav = 0, nat = 5, ntyp = 3
/
ATOMIC_SPECIES
In 114.82 In.upf
N 14.01 N.upf
Zn 65.41 Zn.upf
CELL_PARAMETERS angstrom
5.080 0.000 0.000
0.000 5.080 0.000
0.000 0.000 5.080
ATOMIC_POSITIONS angstrom
In 0.000 2.540 0.000
In 0.000 0.000 2.540
In 2.540 0.000 0.000
N 2.540 2.540 2.540
Zn 0.000 0.000 0.000
```

arrangement 1 comes first in stability; the runner-up is 69.6 kJ/mol of atoms higher.

Arrangement 1

Material: Na4In
Method: DFT, PBE-GGA
State: relaxed Values from VASP.

Summary:
density of states at the Fermi level: 5.34 states/eV/cell
space-group type: C2/c
magnetization: 0.00 μB/cell

Cell and atoms, written as Quantum ESPRESSO input:
```
&SYSTEM
  ibrav = 0, nat = 10, ntyp = 2
/
ATOMIC_SPECIES
In 114.82 In.upf
Na 22.99 Na.upf
CELL_PARAMETERS angstrom
-6.348 6.550 1.159
-6.191 0.275 -1.080
-4.583 0.601 7.978
ATOMIC_POSITIONS angstrom
In -7.896 6.618 0.892
In -9.225 0.808 7.166
Na -13.706 5.469 6.381
Na -13.066 6.712 3.066
Na -3.415 1.957 1.677
Na -4.055 0.714 4.992
Na -7.185 2.563 5.064
Na -10.564 3.698 6.339
Na -6.557 3.727 1.719
Na -9.936 4.863 2.994
```

Arrangement 2

Material: Na4In
Method: DFT, PBE-GGA
State: relaxed Values from VASP.

Summary:
density of states at the Fermi level: 3.22 states/eV/cell
space-group type: Pm-3m
magnetization: 0.00 μB/cell

Cell and atoms, written as Quantum ESPRESSO input:
```
&SYSTEM
  ibrav = 0, nat = 5, ntyp = 2
/
ATOMIC_SPECIES
Na 22.99 Na.upf
In 114.82 In.upf
CELL_PARAMETERS angstrom
-4.247 2.993 -2.977
1.293 -3.097 -4.959
-4.019 -4.160 1.551
ATOMIC_POSITIONS angstrom
Na -4.133 -0.583 -0.713
Na -1.477 -0.052 -3.968
Na -1.363 -3.629 -1.704
Na 0.000 0.000 0.000
In -3.486 -2.132 -3.193
```

arrangement 1 comes first in stability; the runner-up is 16.1 kJ/mol of atoms higher.

Arrangement 1

Material: Na2In3
Method: DFT, PBE-GGA
State: relaxed Values from VASP.

Summary:
density of states at the Fermi level: 2.83 states/eV/cell
space-group type: R-3m
magnetization: 0.00 μB/cell

Cell and atoms, written as Quantum ESPRESSO input:
```
&SYSTEM
  ibrav = 0, nat = 5, ntyp = 2
/
ATOMIC_SPECIES
Na 22.99 Na.upf
In 114.82 In.upf
CELL_PARAMETERS angstrom
5.299 0.000 0.000
2.649 4.589 0.000
2.649 1.530 5.585
ATOMIC_POSITIONS angstrom
Na 2.649 1.530 3.881
Na 7.948 4.589 1.703
In 5.299 3.059 2.792
In 2.649 1.530 0.456
In 7.948 4.589 5.128
```

Arrangement 2

Material: Na2In3
Method: DFT, PBE-GGA
State: relaxed Values from VASP.

Summary:
density of states at the Fermi level: 5.87 states/eV/cell
space-group type: R-3c
magnetization: 0.00 μB/cell

Cell and atoms, written as Quantum ESPRESSO input:
```
&SYSTEM
  ibrav = 0, nat = 10, ntyp = 2
/
ATOMIC_SPECIES
Na 22.99 Na.upf
In 114.82 In.upf
CELL_PARAMETERS angstrom
-6.904 -3.785 0.589
-0.171 -7.580 2.202
-2.755 -2.241 6.228
ATOMIC_POSITIONS angstrom
Na -2.648 -2.655 4.809
Na -5.021 -6.388 5.929
Na -7.181 -10.951 4.210
Na -4.809 -7.218 3.091
In -4.029 -2.516 1.879
In -5.801 -11.090 7.141
In -0.846 -2.518 2.117
In -2.497 -5.171 2.769
In -8.983 -11.088 6.902
In -7.332 -8.436 6.251
```

arrangement 1 comes first in stability; the runner-up is 15.2 kJ/mol of atoms higher.

Arrangement 1

Material: Na5In3
Method: DFT, PBE-GGA
State: relaxed Values from VASP.

Summary:
density of states at the Fermi level: 2.63 states/eV/cell
space-group type: R-3m
magnetization: 0.00 μB/cell

Cell and atoms, written as Quantum ESPRESSO input:
```
&SYSTEM
  ibrav = 0, nat = 8, ntyp = 2
/
ATOMIC_SPECIES
Na 22.99 Na.upf
In 114.82 In.upf
CELL_PARAMETERS angstrom
0.136 5.383 -0.353
-4.314 2.908 1.433
1.802 3.249 8.992
ATOMIC_POSITIONS angstrom
Na 0.665 3.077 5.921
Na -1.188 5.770 5.036
Na -3.042 8.464 4.151
Na -1.692 8.669 7.798
Na -0.685 2.871 2.273
In -0.014 5.949 8.207
In -2.362 5.592 1.864
In 0.000 0.000 0.000
```

Arrangement 2

Material: Na5In3
Method: DFT, PBE-GGA
State: relaxed Values from VASP.

Summary:
density of states at the Fermi level: 7.19 states/eV/cell
space-group type: I4/mcm
magnetization: 0.00 μB/cell

Cell and atoms, written as Quantum ESPRESSO input:
```
&SYSTEM
  ibrav = 0, nat = 16, ntyp = 2
/
ATOMIC_SPECIES
In 114.82 In.upf
Na 22.99 Na.upf
CELL_PARAMETERS angstrom
-1.184 1.595 -5.586
5.990 -4.480 -5.695
-6.346 -5.984 -3.509
ATOMIC_POSITIONS angstrom
In -3.385 -6.021 -10.440
In -0.296 0.399 -1.396
In -3.084 -2.579 -6.375
In 1.845 -2.848 -4.350
In -0.888 1.196 -4.189
In 1.544 -6.290 -8.416
Na -4.055 -5.743 -7.072
Na -0.217 -6.797 -11.333
Na -0.074 -1.051 -6.576
Na -0.474 -4.833 -5.999
Na -1.467 -7.819 -8.214
Na -3.587 -4.739 -3.739
Na 2.046 -4.130 -11.051
Na 2.515 -3.126 -7.718
Na -1.066 -4.036 -8.791
Na -1.324 -2.073 -3.457
```

arrangement 1 comes first in stability; the runner-up is 1.0 kJ/mol of atoms higher.

Arrangement 1

Material: NaIn6
Method: DFT, PBE-GGA
State: relaxed Values from VASP.

Summary:
density of states at the Fermi level: 5.05 states/eV/cell
space-group type: Im-3m
magnetization: 0.00 μB/cell

Cell and atoms, written as Quantum ESPRESSO input:
```
&SYSTEM
  ibrav = 0, nat = 7, ntyp = 2
/
ATOMIC_SPECIES
In 114.82 In.upf
Na 22.99 Na.upf
CELL_PARAMETERS angstrom
-0.368 3.211 6.306
2.852 -6.439 0.791
4.031 3.847 -4.378
ATOMIC_POSITIONS angstrom
In 2.453 2.722 2.738
In 2.158 0.151 4.031
In 3.552 2.881 0.067
In 4.357 0.469 -1.312
In 4.062 -2.103 -0.019
In 2.963 -2.262 2.652
Na 0.000 0.000 0.000
```

Arrangement 2

Material: NaIn6
Method: DFT, PBE-GGA
State: relaxed Values from VASP.

Summary:
density of states at the Fermi level: 1.89 states/eV/cell
space-group type: P4/mmm
magnetization: 0.00 μB/cell

Cell and atoms, written as Quantum ESPRESSO input:
```
&SYSTEM
  ibrav = 0, nat = 7, ntyp = 2
/
ATOMIC_SPECIES
Na 22.99 Na.upf
In 114.82 In.upf
CELL_PARAMETERS angstrom
5.153 0.000 0.000
0.000 5.153 0.000
0.000 0.000 7.416
ATOMIC_POSITIONS angstrom
Na 0.000 0.000 0.000
In 2.577 2.577 0.000
In 2.577 0.000 5.440
In 0.000 2.577 5.440
In 2.577 0.000 1.976
In 0.000 2.577 1.976
In 0.000 0.000 3.708
```

Arrangement 3

Material: NaIn6
Method: DFT, PBE-GGA
State: relaxed Values from VASP.

Summary:
density of states at the Fermi level: 7.49 states/eV/cell
space-group type: P4/nbm
magnetization: 0.00 μB/cell

Cell and atoms, written as Quantum ESPRESSO input:
```
&SYSTEM
  ibrav = 0, nat = 14, ntyp = 2
/
ATOMIC_SPECIES
In 114.82 In.upf
Na 22.99 Na.upf
CELL_PARAMETERS angstrom
6.761 0.000 0.000
0.000 6.761 0.000
0.000 0.000 8.815
ATOMIC_POSITIONS angstrom
In 5.612 4.530 3.130
In 2.231 1.149 5.685
In 3.381 3.381 1.435
In 2.231 5.612 3.130
In 1.149 2.231 3.130
In 4.530 1.149 3.130
In 4.530 5.612 5.685
In 1.149 4.530 5.685
In 0.000 0.000 7.380
In 0.000 0.000 1.435
In 3.381 3.381 7.380
In 5.612 2.231 5.685
Na 3.381 0.000 0.000
Na 0.000 3.381 0.000
```

arrangement 3 comes first in stability; the runner-up is 0.6 kJ/mol of atoms higher.

Arrangement 1

Material: Na2In7
Method: DFT, PBE-GGA
State: relaxed Values from VASP.

Summary:
density of states at the Fermi level: 8.01 states/eV/cell
space-group type: R-3m
magnetization: 0.00 μB/cell

Cell and atoms, written as Quantum ESPRESSO input:
```
&SYSTEM
  ibrav = 0, nat = 18, ntyp = 2
/
ATOMIC_SPECIES
In 114.82 In.upf
Na 22.99 Na.upf
CELL_PARAMETERS angstrom
-2.667 -5.238 -2.172
1.585 -5.559 2.420
-11.719 -2.218 10.698
ATOMIC_POSITIONS angstrom
In -10.511 -9.651 9.060
In -1.333 -2.619 -1.086
In -2.723 -6.955 2.036
In -6.400 -6.508 5.473
In -3.608 -7.728 4.986
In -8.383 -8.128 7.195
In -9.193 -5.288 5.959
In -10.078 -6.060 8.909
In -0.541 -5.399 0.124
In -7.020 -5.451 8.305
In -4.418 -4.887 3.750
In -5.781 -7.564 2.640
In 0.793 -2.779 1.210
In -2.289 -3.365 1.885
Na -2.828 -10.585 1.880
Na -6.623 -2.838 5.935
Na -9.973 -2.430 9.066
Na -6.177 -10.178 5.010
```

Arrangement 2

Material: Na2In7
Method: DFT, PBE-GGA
State: relaxed Values from VASP.

Summary:
density of states at the Fermi level: 3.09 states/eV/cell
space-group type: P-31m
magnetization: 0.00 μB/cell

Cell and atoms, written as Quantum ESPRESSO input:
```
&SYSTEM
  ibrav = 0, nat = 9, ntyp = 2
/
ATOMIC_SPECIES
In 114.82 In.upf
Na 22.99 Na.upf
CELL_PARAMETERS angstrom
-1.018 -2.609 -5.029
-3.130 -1.363 4.635
-5.542 5.984 -1.982
ATOMIC_POSITIONS angstrom
In -4.746 3.571 0.186
In -6.511 1.345 -1.596
In -3.178 0.666 -0.780
In -3.926 1.049 2.467
In -4.054 3.164 -2.977
In -2.506 0.211 -4.035
In 0.000 0.000 0.000
Na -2.426 -1.778 1.414
Na -1.722 -2.194 -1.808
```

arrangement 2 comes first in stability; the runner-up is 2.1 kJ/mol of atoms higher.